The following is a DFT calculation (PBE) of CuRe after structural relaxation.

As for the crystal system: hexagonal. As for the energy of formation from the pure elements: 0.513 eV per atom. The calculation puts the theoretical density at 14.0 g cm⁻³. Its energy above the most stable polymorph in this dataset is 0.3674 eV/atom.

The space group is P6_3/m (No. 176) and the conventional cell measures 8.9761, 8.9761 and 2.5564 Å, with angles of 90.00, 90.00 and 120.00 degrees. Symmetry generates all atoms from Cu at (0.0512, 0.2750, 0.2500) and Re at (0.1469, 0.6202, 0.2500).

The following is a DFT calculation (PBE) of CuRe5 after structural relaxation.

As for the crystal system: monoclinic. As for the energy of formation from the pure elements: 0.142 eV per atom. The calculation puts the theoretical density at 18.8 g cm⁻³. Its energy above the most stable polymorph in this dataset is 0.0457 eV/atom.

The space group is Cm (No. 8) and the conventional cell measures 10.007, 2.808 and 6.469 Å, with angles of 90.00, 105.17 and 90.00 degrees. Symmetry generates all atoms from Cu at (0.000, 0.000, 0.000), Re at (0.054, 0.000, 0.605), Re at (0.167, 0.500, 0.334), Re at (0.217, 0.500, 0.937), Re at (0.338, 0.000, 0.665) and Re at (0.386, 0.000, 0.266).

The following is a DFT calculation (PBE) of Cu4Re after structural relaxation.

As for the crystal system: cubic. As for the energy of formation from the pure elements: 1.694 eV per atom. The calculation puts the theoretical density at 7.3 g cm⁻³.

The space group is Pm-3m (No. 221) and the conventional cell measures 4.636, 4.636 and 4.636 Å, with angles of 90.00, 90.00 and 90.00 degrees. Symmetry generates all atoms from Cu at (0.000, 0.000, 0.000), Cu at (0.000, 0.500, 0.500) and Re at (0.500, 0.500, 0.500).

The following is a DFT calculation (PBE) of CuRe after structural relaxation.

As for the crystal system: hexagonal. As for the energy of formation from the pure elements: 0.427 eV per atom. The calculation puts the theoretical density at 14.7 g cm⁻³. Its energy above the most stable polymorph in this dataset is 0.2812 eV/atom.

The space group is P6_3/mmc (No. 194) and the conventional cell measures 4.0648, 4.0648 and 7.9110 Å, with angles of 90.00, 90.00 and 120.00 degrees. Symmetry generates all atoms from Cu at (0.0000, 0.0000, 0.2500), Cu at (0.3333, 0.6667, 0.2500) and Re at (0.3333, 0.6667, 0.5711).

The following is a DFT calculation (PBE) of Cu3Re after structural relaxation.

As for the crystal system: tetragonal. As for the energy of formation from the pure elements: 0.359 eV per atom. The calculation puts the theoretical density at 12.0 g cm⁻³.

The space group is P4/mmm (No. 123) and the conventional cell measures 4.517, 4.517 and 2.561 Å, with angles of 90.00, 90.00 and 90.00 degrees. Symmetry generates all atoms from Cu at (0.000, 0.000, 0.000), Cu at (0.000, 0.500, 0.500) and Re at (0.500, 0.500, 0.000).

The following is a DFT calculation (PBE) of CuRe2 after structural relaxation.

As for the crystal system: monoclinic. As for the energy of formation from the pure elements: 0.279 eV per atom. The calculation puts the theoretical density at 17.0 g cm⁻³. Its energy above the most stable polymorph in this dataset is 0.1458 eV/atom.

The space group is Cm (No. 8) and the conventional cell measures 9.979, 2.782 and 6.392 Å, with angles of 90.00, 106.00 and 90.00 degrees. Symmetry generates all atoms from Cu at (0.000, 0.000, 0.000), Cu at (0.159, 0.500, 0.324), Re at (0.049, 0.000, 0.600), Re at (0.218, 0.500, 0.931), Re at (0.333, 0.000, 0.661) and Re at (0.379, 0.000, 0.265).

The following is a DFT calculation (PBE) of CuRe5 after structural relaxation.

As for the crystal system: orthorhombic. As for the energy of formation from the pure elements: 0.307 eV per atom. The calculation puts the theoretical density at 18.8 g cm⁻³. Its energy above the most stable polymorph in this dataset is 0.2106 eV/atom.

The space group is Cmmm (No. 65) and the conventional cell measures 4.388, 13.743 and 2.908 Å, with angles of 90.00, 90.00 and 90.00 degrees. Symmetry generates all atoms from Cu at (0.000, 0.000, 0.000), Re at (0.000, 0.151, 0.500), Re at (0.000, 0.318, 0.000) and Re at (0.000, 0.500, 0.500).

The following is a DFT calculation (PBE) of CuRe after structural relaxation.

As for the crystal system: hexagonal. As for the energy of formation from the pure elements: 0.570 eV per atom. The calculation puts the theoretical density at 14.3 g cm⁻³. Its energy above the most stable polymorph in this dataset is 0.4244 eV/atom.

The space group is P6_3mc (No. 186) and the conventional cell measures 2.6526, 2.6526 and 9.5258 Å, with angles of 90.00, 90.00 and 120.00 degrees. Symmetry generates all atoms from Cu at (0.3333, 0.6667, 0.0000) and Re at (0.3333, 0.6667, 0.2675).

The following is a DFT calculation (PBE) of CuReRh2 after structural relaxation.

As for the crystal system: monoclinic. As for the energy of formation from the pure elements: 0.054 eV per atom. The calculation puts the theoretical density at 13.5 g cm⁻³.

The space group is Cm (No. 8) and the conventional cell measures 8.987, 2.733 and 4.630 Å, with angles of 90.00, 100.27 and 90.00 degrees. Symmetry generates all atoms from Cu at (0.000, 0.000, 0.000), Re at (0.246, 0.000, 0.725), Rh at (0.000, 0.500, 0.512) and Rh at (0.251, 0.500, 0.217).

The following is a DFT calculation (PBE) of CuReRh2 after structural relaxation.

As for the crystal system: orthorhombic. As for the energy of formation from the pure elements: 0.043 eV per atom. The calculation puts the theoretical density at 13.6 g cm⁻³.

The space group is Pmm2 (No. 25) and the conventional cell measures 2.723, 3.895 and 5.254 Å, with angles of 90.00, 90.00 and 90.00 degrees. Symmetry generates all atoms from Cu at (0.000, 0.000, 0.000), Re at (0.500, 0.500, 0.258), Rh at (0.000, 0.000, 0.489) and Rh at (0.500, 0.500, 0.778).

The following is a DFT calculation (PBE) of CuRe2Rh after structural relaxation.

As for the crystal system: orthorhombic. As for the energy of formation from the pure elements: 0.210 eV per atom. The calculation puts the theoretical density at 15.8 g cm⁻³. Its energy above the most stable polymorph in this dataset is 0.1196 eV/atom.

The space group is Cmmm (No. 65) and the conventional cell measures 5.249, 8.078 and 2.665 Å, with angles of 90.00, 90.00 and 90.00 degrees. Symmetry generates all atoms from Cu at (0.000, 0.000, 0.000), Re at (0.250, 0.250, 0.500) and Rh at (0.000, 0.500, 0.000).

The following is a DFT calculation (PBE) of CuReRh2 after structural relaxation.

As for the crystal system: trigonal. As for the energy of formation from the pure elements: 0.078 eV per atom. The calculation puts the theoretical density at 13.4 g cm⁻³.

The space group is R3m (No. 160, hexagonal axes) and the conventional cell measures 2.7299, 2.7299 and 26.2377 Å, with angles of 90.00, 90.00 and 120.00 degrees. Symmetry generates all atoms from Cu at (0.0000, 0.0000, 0.0000), Re at (0.0000, 0.0000, 0.7506), Rh at (0.0000, 0.0000, 0.2521) and Rh at (0.0000, 0.0000, 0.4977).

The following is a DFT calculation (PBE) of CuReRh2 after structural relaxation.

As for the crystal system: tetragonal. As for the energy of formation from the pure elements: 0.027 eV per atom. The calculation puts the theoretical density at 13.7 g cm⁻³.

The space group is I4/mmm (No. 139) and the conventional cell measures 3.841, 3.841 and 7.491 Å, with angles of 90.00, 90.00 and 90.00 degrees. Symmetry generates all atoms from Cu at (0.000, 0.000, 0.000), Re at (0.000, 0.000, 0.500) and Rh at (0.000, 0.500, 0.250).

The following is a DFT calculation (PBE) of CuReRh after structural relaxation.

As for the crystal system: orthorhombic. As for the energy of formation from the pure elements: 0.254 eV per atom. The calculation puts the theoretical density at 13.7 g cm⁻³. Its energy above the most stable polymorph in this dataset is 0.1849 eV/atom.

The space group is Fmm2 (No. 42) and the conventional cell measures 2.761, 4.574 and 13.528 Å, with angles of 90.00, 90.00 and 90.00 degrees. Symmetry generates all atoms from Cu at (0.000, 0.000, 0.000), Re at (0.000, 0.000, 0.667) and Rh at (0.000, 0.000, 0.333).